# 1
72
Lattice="12.955 0.000 0.000 0.000 12.955 0.000 0.000 0.000 12.955" Properties=species:S:1:pos:R:3 comment="Ba4SiP4 | the Alexandria database | PBEsol | relaxed" m_tot_mub_per_cell=0.00 e_tot_ev_per_atom=-5.14 e_form_raw_ev_per_atom=-0.97 sg=P-43n vol_a3_per_atom=30.2 pbc="T T T"
Ba 1.207 1.728 8.371
Ba 1.207 11.227 4.584
Ba 1.728 4.584 11.748
Ba 1.728 8.371 1.207
Ba 1.892 1.892 1.892
Ba 1.893 4.750 5.270
Ba 1.893 8.205 7.685
Ba 1.892 11.063 11.063
Ba 4.584 1.207 11.227
Ba 4.586 4.586 8.370
Ba 4.586 8.370 4.586
Ba 4.584 11.748 1.728
Ba 4.750 5.270 1.893
Ba 4.750 7.685 11.062
Ba 5.270 1.893 4.750
Ba 5.270 11.062 8.205
Ba 7.685 1.893 8.205
Ba 7.685 11.062 4.750
Ba 8.205 5.270 11.062
Ba 8.205 7.685 1.893
Ba 8.371 1.207 1.728
Ba 8.370 4.586 4.586
Ba 8.370 8.370 8.370
Ba 8.371 11.748 11.227
Ba 11.063 1.892 11.063
Ba 11.062 4.750 7.685
Ba 11.062 8.205 5.270
Ba 11.063 11.063 1.892
Ba 11.227 4.584 1.207
Ba 11.227 8.371 11.748
Ba 11.748 1.728 4.584
Ba 11.748 11.227 8.371
Si 0.000 0.000 0.000
Si 0.000 6.478 3.239
Si 0.000 6.478 9.716
Si 3.239 0.000 6.478
Si 6.478 3.239 0.000
Si 6.478 6.478 6.478
Si 6.478 9.716 0.000
Si 9.716 0.000 6.478
P 1.323 1.323 11.632
P 1.319 5.068 8.464
P 1.319 7.887 4.491
P 1.323 11.632 1.323
P 1.410 5.159 1.987
P 1.410 7.796 10.968
P 1.987 1.410 5.159
P 1.987 11.545 7.796
P 4.491 1.319 7.887
P 4.491 11.636 5.068
P 5.068 4.491 11.636
P 5.068 8.464 1.319
P 5.159 1.987 1.410
P 5.154 5.154 5.154
P 5.154 7.801 7.801
P 5.159 10.968 11.545
P 7.796 1.987 11.545
P 7.801 5.154 7.801
P 7.801 7.801 5.154
P 7.796 10.968 1.410
P 7.887 4.491 1.319
P 7.887 8.464 11.636
P 8.464 1.319 5.068
P 8.464 11.636 7.887
P 10.968 1.410 7.796
P 10.968 11.545 5.159
P 11.545 5.159 10.968
P 11.545 7.796 1.987
P 11.632 1.323 1.323
P 11.636 5.068 4.491
P 11.636 7.887 8.464
P 11.632 11.632 11.632

---

# 2
5
Lattice="5.082 0.000 0.000 0.000 5.082 0.000 0.000 0.000 5.082" Properties=species:S:1:pos:R:3 comment="BaSnP3 | the Alexandria database | PBEsol | relaxed" formation_energy_ev_per_atom=0.16 m_tot_mub_per_cell=0.00 e_tot_ev_per_atom=-4.60 sg=Pm-3m vol_a3_per_atom=26.3 pbc="T T T"
Ba 0.000 0.000 0.000
Sn 2.541 2.541 2.541
P 0.000 2.541 2.541
P 2.541 0.000 2.541
P 2.541 2.541 0.000

---

# 3
8
Lattice="4.325 0.000 0.000 0.000 4.921 0.000 0.000 0.000 15.986" Properties=species:S:1:pos:R:3 comment="Ba2SrP | the Alexandria database | PBEsol | relaxed" formation_energy_ev_per_atom=-0.52 m_tot_mub_per_cell=0.07 e_tot_ev_per_atom=-3.50 sg=Amm2 vol_a3_per_atom=42.5 pbc="T T T"
Ba 0.000 0.000 0.000
Ba 0.000 2.460 7.993
Ba 2.163 0.000 5.560
Ba 2.163 2.460 13.553
Sr 2.163 0.000 10.736
Sr 2.163 2.460 2.743
P 0.000 0.000 12.874
P 0.000 2.460 4.881

---

# 4
12
Lattice="4.471 0.000 0.000 -2.236 3.872 0.000 0.000 0.000 33.756" Properties=species:S:1:pos:R:3 comment="Ba2SrP | the Alexandria database | PBEsol | relaxed" formation_energy_ev_per_atom=-0.56 m_tot_mub_per_cell=2.66 e_tot_ev_per_atom=-3.55 sg=R3m vol_a3_per_atom=48.7 pbc="T T T"
Ba 0.000 0.000 0.000
Ba 0.000 0.000 7.183
Ba 0.000 2.582 22.504
Ba 0.000 2.582 29.687
Ba 2.236 1.291 11.252
Ba 2.236 1.291 18.435
Sr 0.000 0.000 14.536
Sr 0.000 2.582 3.284
Sr 2.236 1.291 25.788
P 0.000 0.000 24.248
P 0.000 2.582 12.996
P 2.236 1.291 1.744